Entry 1:
# SrLi4MgCd2

Crystalline SrLi4MgCd2 at its relaxed geometry (PBE, the Alexandria database).

Geometry as extended XYZ:
```
8
Lattice="2.4236 1.3993 8.9263 -2.4236 1.3993 8.9263 0.0000 -2.7986 8.9263" Properties=species:S:1:pos:R:3 pbc="T T T"
Sr 0.0000 0.0000 0.0000
Li 0.0000 0.0000 3.4960
Li 0.0000 0.0000 10.6702
Li 0.0000 0.0000 16.1088
Li 0.0000 0.0000 23.2830
Mg 0.0000 0.0000 13.3895
Cd 0.0000 0.0000 6.4177
Cd 0.0000 0.0000 20.3612
```

Summary:
Final energy ... -13.85 eV per cell

***

Entry 2:
# Sr2LiMg6Cd

Crystalline Sr2LiMg6Cd at its relaxed geometry (PBE, the Alexandria database).

Geometry as extended XYZ:
```
10
Lattice="-3.7088 3.7273 5.2672 3.7088 -3.7273 5.2672 3.7088 3.7273 -5.2672" Properties=species:S:1:pos:R:3 pbc="T T T"
Sr 0.0000 0.0000 2.6341
Sr 0.0000 0.0000 7.9002
Li 0.0000 3.7273 0.0000
Mg 1.7826 1.9348 0.0000
Mg 1.9262 -1.7925 5.2672
Mg 3.7088 0.0000 2.7342
Mg 0.0000 3.7273 2.5330
Mg 1.7826 5.5198 0.0000
Mg 1.9262 1.7925 5.2672
Cd 3.7088 0.0000 0.0000
```

Summary:
Final energy ... -15.31 eV per cell